Record 1
Density functional theory data (PBE) for a geometry-optimized Fe2NiGe2 structure.

Calculated values
Symmetry: Amm2
V, Å³ per atom: 13.66
Formation enthalpy at 0 K, eV/atom: 0.046
Magnetization, μB per formula unit: 4.5

Lattice parameters (Å, degrees): 3.8422 3.0275 6.8784 116.10 106.20 90.00
Last column: magnetic moment on the atom in μB.
Fractional coordinates of all 5 atoms:
Ge (0.4086, 0.5168, 0.8168)  -0.03
Ge (0.6090, 0.4182, 0.2182)  -0.06
Ni (0.9709, 0.1412, 0.9411)  0.19
Fe (0.2337, 0.6685, 0.4684)  2.34
Fe (0.7777, 0.2553, 0.5554)  2.10



Record 2
Density functional theory data (PBE) for a geometry-optimized PaTaN structure.

Calculated values
Symmetry: I4mm
V, Å³ per atom: 17.80
ΔE_f (raw), eV/f.u.: -1.042
Magnetization, μB per formula unit: 0.0
Energy above the most stable polymorph in this dataset, eV/atom: 0.4041

Lattice parameters (Å, degrees): 2.9669 2.9669 6.4189 103.36 103.36 90.00
Fractional coordinates of all 3 atoms:
Pa (0.3102, 0.3102, 0.6204)
Ta (0.6090, 0.6090, 0.2179)
N (0.0808, 0.0808, 0.1616)



Record 3
Density functional theory data (PBE) for a geometry-optimized HgMo2W structure.

Calculated values
Symmetry: I-42d
V, Å³ per atom: 18.89
Formation enthalpy at 0 K, eV/atom: 1.042
Magnetization, μB per formula unit: 0.0

Lattice parameters (Å, degrees): 7.3916 7.3916 5.9131 51.32 51.32 90.00
Fractional coordinates of all 8 atoms:
Hg (0.0000, 0.0000, 0.0000)
Hg (0.7500, 0.2500, 0.5000)
Mo (0.3750, 0.4133, 0.7500)
Mo (0.1633, 0.6250, 0.2500)
Mo (0.8750, 0.8367, 0.7500)
Mo (0.5867, 0.1250, 0.2500)
W (0.5000, 0.5000, 0.0000)
W (0.2500, 0.7500, 0.5000)



Record 4
Density functional theory data (PBE) for a geometry-optimized BaSrCu2 structure.

Calculated values
Symmetry: C2/m
V, Å³ per atom: 33.67
Formation enthalpy at 0 K, eV/atom: 0.117
Magnetization, μB per formula unit: 0.0
Energy above the most stable polymorph in this dataset, eV/atom: 0.1641

Lattice parameters (Å, degrees): 4.5654 4.5654 7.9104 73.33 73.33 59.95
Fractional coordinates of all 4 atoms:
Ba (0.7500, 0.7500, 0.7500)
Cu (0.5048, 0.5048, 0.4853)
Cu (0.9952, 0.9952, 0.0147)
Sr (0.2500, 0.2500, 0.2500)